# LiSiB PBE-GGA relaxed
data_LiSiB
_cell_length_a 9.298
_cell_length_b 9.298
_cell_length_c 5.255
_cell_angle_alpha 90.00
_cell_angle_beta 90.00
_cell_angle_gamma 90.00
_space_group_name_H-M_alt 'I 4/m m m'
_space_group_IT_number 139
_space_group_name_Hall '-I 4 2'
loop_
_atom_site_label
_atom_site_type_symbol
_atom_site_fract_x
_atom_site_fract_y
_atom_site_fract_z
_atom_site_occupancy
Li1 Li 0.000 0.314 0.000 1
Si1 Si 0.000 0.281 0.500 1
B1 B 0.093 0.093 0.500 1
# - DOS at the Fermi energy: 0.1402 states/eV/atom
# - Mass density: 1.3 g/cm3
# - DFT total energy: -103.17 eV for the cell shown
# - Total magnetic moment: 0.00 μB per formula unit